Computed, not measured: a relaxed Sr2VWS crystal at the PBE level of DFT.

a = 5.6996 Å, b = 5.6996 Å, c = 4.4958 Å
α = 90.00°, β = 90.00°, γ = 90.00°
With the nearest neighbours (Å) after each atom.
Space group P4/mmm (No. 123)
One atom of each set of equivalent atoms:
Sr (0.0000, 0.5000, 0.0000) (multiplicity 2)  2 S 2.85
V (0.0000, 0.0000, 0.5000) (multiplicity 1)  2 S 2.25
W (0.5000, 0.5000, 0.5000) (multiplicity 1)  8 Sr 3.63, 4 V 4.03
S (0.0000, 0.0000, 0.0000) (multiplicity 1)  2 V 2.25

Calculated values
uncorrected formation energy: 0.558 eV/atom
DFT total energy: -5.3546 eV per atom
M_tot: 0.2004 μB per atom
volume: 146.0 Å³/cell
density of states at the Fermi level: 3.9 states/eV per cell